Record 1
VASP calculation (GGA-PBE) on crystalline Tl2MoAu at its relaxed geometry.

**ρ**: 13.7 g/cm³
**Spin magnetization**: 0.211 μB per atom
**N(E_F)**: 2.009 states/eV/f.u.
**Formation energy from the elements**: 64.5 kJ per mole of atoms

a = 3.059 Å, b = 5.540 Å, c = 10.021 Å
α = 90.00°, β = 90.00°, γ = 90.00°
Space group Immm (No. 71)
Asymmetric unit:
Tl  0.000  0.000  0.247
Mo  0.000  0.500  0.500
Au  0.000  0.500  0.000

Record 2
VASP calculation (GGA-PBE) on crystalline RbPtF2 at its relaxed geometry.

**ρ**: 7.3 g/cm³
**Spin magnetization**: 0.254 μB per atom
**N(E_F)**: 1.585 states/eV/f.u.
**Electronic total energy**: -3.71 eV/atom

a = 4.0027 Å, b = 4.0027 Å, c = 15.6371 Å
α = 90.00°, β = 90.00°, γ = 120.00°
Space group R-3m (No. 166, hexagonal axes)
Asymmetric unit:
Rb  0.0000  0.0000  0.0000
Pt  0.0000  0.0000  0.5000
F  0.0000  0.0000  0.2181

Record 3
VASP calculation (GGA-PBE) on crystalline Pr12Nd7Y at its relaxed geometry.

**ρ**: 5.7 g/cm³
**Spin magnetization**: 0.000 μB per atom
**N(E_F)**: 27.956 states/eV/f.u.
**Formation energy from the elements**: 57.1 kJ per mole of atoms

a = 11.759 Å, b = 11.759 Å, c = 11.759 Å
α = 90.00°, β = 90.00°, γ = 90.00°
Space group Im-3m (No. 229)
Asymmetric unit:
Pr  0.000  0.248  0.248
Nd  0.000  0.000  0.500
Nd  0.250  0.250  0.250
Y  0.000  0.000  0.000

Record 4
VASP calculation (GGA-PBE) on crystalline AcPaCuS4 at its relaxed geometry.

**ρ**: 6.9 g/cm³
**Spin magnetization**: 0.122 μB per atom
**N(E_F)**: 3.053 states/eV/f.u.
**Electronic total energy**: -6.38 eV/atom

a = 6.378 Å, b = 6.368 Å, c = 8.076 Å
α = 90.00°, β = 107.69°, γ = 90.00°
Space group P2_1/m (No. 11)
Asymmetric unit:
Ac  0.243  0.250  0.059
Pa  0.224  0.250  0.554
Cu  0.235  0.750  0.321
S  0.022  0.513  0.733
S  0.435  0.750  0.132
S  0.450  0.750  0.598

Record 5
VASP calculation (GGA-PBE) on crystalline Ba2CdBr at its relaxed geometry.

**ρ**: 5.1 g/cm³
**Spin magnetization**: 0.000 μB per atom
**N(E_F)**: 4.020 states/eV/f.u.
**Electronic total energy**: -2.48 eV/atom

a = 4.093 Å, b = 4.093 Å, c = 9.161 Å
α = 90.00°, β = 90.00°, γ = 90.00°
Space group P4/mmm (No. 123)
Asymmetric unit:
Ba  0.000  0.000  0.237
Cd  0.500  0.500  0.000
Br  0.500  0.500  0.500

Record 6
VASP calculation (GGA-PBE) on crystalline SrScSi2Pt at its relaxed geometry.

**ρ**: 4.4 g/cm³
**Spin magnetization**: 0.000 μB per atom
**N(E_F)**: 3.902 states/eV/f.u.
**Electronic total energy**: -4.07 eV/atom

a = 4.915 Å, b = 4.915 Å, c = 5.949 Å
α = 90.00°, β = 90.00°, γ = 90.00°
Space group P4/mmm (No. 123)
Asymmetric unit:
Sr  0.000  0.000  0.000
Sc  0.000  0.000  0.500
Si  0.000  0.500  0.500
Pt  0.500  0.500  0.000

Record 7
VASP calculation (GGA-PBE) on crystalline B3AsW at its relaxed geometry.

**ρ**: 7.7 g/cm³
**Spin magnetization**: 0.000 μB per atom
**N(E_F)**: 3.647 states/eV/f.u.
**Formation energy from the elements**: 213.8 kJ per mole of atoms

a = 3.976 Å, b = 3.976 Å, c = 3.976 Å
α = 90.00°, β = 90.00°, γ = 90.00°
Space group Pm-3m (No. 221)
Asymmetric unit:
B  0.000  0.000  0.500
As  0.000  0.000  0.000
W  0.500  0.500  0.500

Record 8
VASP calculation (GGA-PBE) on crystalline PmZrSe2 at its relaxed geometry.

**ρ**: 5.8 g/cm³
**Spin magnetization**: 0.000 μB per atom
**N(E_F)**: 3.587 states/eV/f.u.
**Electronic total energy**: -6.13 eV/atom

a = 3.7767 Å, b = 3.7767 Å, c = 27.3298 Å
α = 90.00°, β = 90.00°, γ = 120.00°
Space group R-3m (No. 166, hexagonal axes)
Asymmetric unit:
Pm  0.0000  0.0000  0.0000
Zr  0.0000  0.0000  0.5000
Se  0.0000  0.0000  0.1063